# Al2O3

Al2O3 after structural relaxation (GGA-PBE, Alexandria via LeMat-Bulk).

Results
N(E_F), states/eV per cell: 0.0
Formation energy without anion corrections, eV/atom: -2.958
DFT total energy, eV/atom: -7.43

abc: 5.203 5.203 7.251
angles: 104.17 104.17 36.70
Fractional coordinates of all 10 atoms:
Al1 0.114 0.114 0.431
Al2 0.238 0.238 0.843
Al3 0.762 0.762 0.157
Al4 0.886 0.886 0.569
O1 0.074 0.074 0.665
O2 0.192 0.192 0.086
O3 0.325 0.325 0.625
O4 0.675 0.675 0.375
O5 0.808 0.808 0.914
O6 0.926 0.926 0.335